1.
PrIn2Ni2 | PBE | optimized geometry

Energy of formation from the pure elements (meV per atom): -349
Crystal system: monoclinic
DFT total energy (eV/cell): -47.13

Cell: 10.045 4.166 5.123 Å, 90.00 104.69 90.00°
Space group C2/m (No. 12)
One atom of each set of equivalent atoms:
Pr 0.000 0.000 0.000
In 0.153 0.500 0.582
Ni 0.228 0.500 0.120

2.
Pr2In2Ni15 | PBE | optimized geometry

Energy of formation from the pure elements (meV per atom): -139
Crystal system: trigonal
DFT total energy (eV/cell): -313.20

Cell: 8.5523 8.5523 12.5560 Å, 90.00 90.00 120.00°
Space group R-3m (No. 166, hexagonal axes)
One atom of each set of equivalent atoms:
Pr 0.0000 0.0000 0.1462
In 0.0000 0.0000 0.3931
Ni 0.0000 0.2996 0.5000
Ni 0.0000 0.5000 0.0000
Ni 0.0024 0.5012 0.6551

3.
Pr2InNi3 | PBE | optimized geometry

Energy of formation from the pure elements (meV per atom): -249
Crystal system: orthorhombic
DFT total energy (eV/cell): -249.08

Cell: 8.018 8.801 14.557 Å, 90.00 90.00 90.00°
Space group Fmmm (No. 69)
One atom of each set of equivalent atoms:
Pr 0.234 0.000 0.000
Pr 0.250 0.250 0.250
In 0.000 0.000 0.335
Ni 0.000 0.000 0.158
Ni 0.000 0.240 0.082

4.
PrInNi | PBE | optimized geometry

Energy of formation from the pure elements (meV per atom): -442
Crystal system: hexagonal
DFT total energy (eV/cell): -43.87

Cell: 7.5252 7.5252 4.0620 Å, 90.00 90.00 120.00°
Space group P-62m (No. 189)
One atom of each set of equivalent atoms:
Pr 0.0000 0.5865 0.0000
In 0.0000 0.2455 0.5000
Ni 0.0000 0.0000 0.0000
Ni 0.3333 0.6667 0.5000